Version P
The following is a DFT calculation (PBE) of a geometry-optimized Y2TePb structure.

Results
size of the total moment	0.00	Bohr magnetons per cell
density of states at the Fermi level	2.04	states/eV per cell

Cell: 4.3807 4.3807 7.9466 Å, 74.00 74.00 60.00°
Fractional positions:
Y (0.0780, 0.0780, 0.7659)
Te (0.4980, 0.4980, 0.5059)
Pb (0.6681, 0.6681, 0.9956)
Y (0.2558, 0.2558, 0.2326)

---

Version Q
The following is a DFT calculation (PBE) of a geometry-optimized Y2TePb structure.

Results
size of the total moment	0.69	Bohr magnetons per cell
density of states at the Fermi level	3.48	states/eV per cell

Cell: 3.7026 3.7145 8.9634 Å, 65.44 90.00 90.00°
Each line ends with the local moment (μB).
Fractional positions:
Pb (0.5000, 0.2500, 0.2500)  -0.01
Y (0.0000, 0.4876, 0.5122)  0.19
Y (0.0000, 0.0124, 0.9878)  0.19
Te (0.5000, 0.7500, 0.7500)  -0.01

---

Stability summary: most stable version P, least stable version Q.

---

Version P
The following is a DFT calculation (PBE) of a geometry-optimized Y2TePb structure.

Results
size of the total moment	0.94	Bohr magnetons per cell
density of states at the Fermi level	4.09	states/eV per cell

Cell: 10.2800 10.2800 10.2800 Å, 21.71 21.71 21.71°
Each line ends with the local moment (μB).
Fractional positions:
Pb (0.4962, 0.4962, 0.4962)  -0.02
Y (0.2481, 0.2481, 0.2481)  0.22
Te (0.7450, 0.7450, 0.7450)  -0.01
Y (0.0108, 0.0108, 0.0108)  0.21

---

Version Q
The following is a DFT calculation (PBE) of a geometry-optimized Y2TePb structure.

Results
size of the total moment	0.00	Bohr magnetons per cell
density of states at the Fermi level	0.00	states/eV per cell

Cell: 6.7848 6.7848 8.7829 Å, 67.28 67.28 90.00°
Fractional positions:
Te (0.2500, 0.7500, 0.5000)
Y (0.1152, 0.6250, 0.2500)
Y (0.3750, 0.3652, 0.7500)
Y (0.8750, 0.8848, 0.7500)
Pb (0.7500, 0.2500, 0.5000)
Te (0.5000, 0.5000, 0.0000)
Pb (0.0000, 0.0000, 0.0000)
Y (0.6348, 0.1250, 0.2500)

---

Version R
The following is a DFT calculation (PBE) of a geometry-optimized Y2TePb structure.

Results
size of the total moment	0.00	Bohr magnetons per cell
density of states at the Fermi level	1.81	states/eV per cell

Cell: 5.5766 5.5766 5.5766 Å, 129.66 115.12 86.40°
Fractional positions:
Te (0.2500, 0.7500, 0.5000)
Pb (0.7500, 0.2500, 0.5000)
Y (0.0023, 0.0023, 0.0000)
Y (0.4977, 0.4977, 0.0000)

---

Version S
The following is a DFT calculation (PBE) of a geometry-optimized Y2TePb structure.

Results
size of the total moment	0.63	Bohr magnetons per cell
density of states at the Fermi level	2.79	states/eV per cell

Cell: 3.6330 5.5868 5.5868 Å, 90.00 90.00 90.00°
Each line ends with the local moment (μB).
Fractional positions:
Pb (0.5000, 0.5000, 0.0000)  0.00
Y (0.0000, 0.0000, 0.0000)  0.17
Te (0.5000, 0.0000, 0.5000)  -0.01
Y (0.0000, 0.5000, 0.5000)  0.17

---

Stability summary: most stable version R, least stable version P.

---

Version P
The following is a DFT calculation (PBE) of a geometry-optimized Y2TePb structure.

Results
size of the total moment	0.00	Bohr magnetons per cell
density of states at the Fermi level	3.06	states/eV per cell

Cell: 3.7338 3.7338 8.1764 Å, 90.00 90.00 97.68°
Fractional positions:
Te (0.5000, 0.5000, 0.7500)
Y (0.0000, 0.0000, 0.5079)
Y (0.0000, 0.0000, 0.9921)
Pb (0.5000, 0.5000, 0.2500)

---

Version Q
The following is a DFT calculation (PBE) of a geometry-optimized Y2TePb structure.

Results
size of the total moment	0.00	Bohr magnetons per cell
density of states at the Fermi level	1.05	states/eV per cell

Cell: 4.4245 4.4245 7.6793 Å, 73.20 73.20 60.03°
Fractional positions:
Y (0.4968, 0.4968, 0.5102)
Te (0.2500, 0.2500, 0.2500)
Pb (0.7500, 0.7500, 0.7500)
Y (0.0032, 0.0032, 0.9898)

---

Version R
The following is a DFT calculation (PBE) of a geometry-optimized Y2TePb structure.

Results
size of the total moment	0.00	Bohr magnetons per cell
density of states at the Fermi level	0.97	states/eV per cell

Cell: 6.2280 6.2280 4.9630 Å, 90.00 90.00 37.40°
Fractional positions:
Te (0.2609, 0.2609, 0.1250)
Y (0.9994, 0.9994, 0.1250)
Y (0.7514, 0.7514, 0.6249)
Pb (0.4883, 0.4883, 0.6251)

---

Version S
The following is a DFT calculation (PBE) of a geometry-optimized Y2TePb structure.

Results
size of the total moment	0.00	Bohr magnetons per cell
density of states at the Fermi level	3.30	states/eV per cell

Cell: 5.4750 5.4750 5.4750 Å, 60.00 60.00 60.00°
Fractional positions:
Y (0.2500, 0.2500, 0.2500)
Pb (0.5000, 0.5000, 0.5000)
Y (0.0000, 0.0000, 0.0000)
Te (0.7500, 0.7500, 0.7500)

---

Stability summary: most stable version Q, least stable version S.

---

Version P
The following is a DFT calculation (PBE) of a geometry-optimized Y5Te4Pb structure.

Results
size of the total moment	0.00	Bohr magnetons per cell
density of states at the Fermi level	4.69	states/eV per cell

Cell: 4.3846 4.3846 15.8573 Å, 97.95 97.95 90.00°
Fractional positions:
Te (0.3978, 0.3978, 0.7957)
Pb (0.0000, 0.0000, 0.0000)
Y (0.9023, 0.9023, 0.8047)
Y (0.0977, 0.0977, 0.1953)
Te (0.6022, 0.6022, 0.2043)
Y (0.7031, 0.7031, 0.4063)
Y (0.2969, 0.2969, 0.5937)
Te (0.8019, 0.8019, 0.6039)
Y (0.5000, 0.5000, 0.0000)
Te (0.1981, 0.1981, 0.3961)

---

Version Q
The following is a DFT calculation (PBE) of a geometry-optimized Y5Te4Pb structure.

Results
size of the total moment	0.00	Bohr magnetons per cell
density of states at the Fermi level	5.44	states/eV per cell

Cell: 6.1904 7.6078 7.6078 Å, 80.47 65.99 65.99°
Fractional positions:
Te (0.1986, 0.2045, 0.4000)
Te (0.8031, 0.7955, 0.6000)
Y (0.5017, 0.0000, 0.0000)
Y (0.2954, 0.8064, 0.6046)
Pb (0.0016, 0.0000, 0.0000)
Te (0.5986, 0.6000, 0.2045)
Y (0.7064, 0.1936, 0.3954)
Te (0.4032, 0.4000, 0.7955)
Y (0.1017, 0.6046, 0.1936)
Y (0.9000, 0.3954, 0.8064)

---

Stability summary: most stable version Q, least stable version P.

---

Version P
The following is a DFT calculation (PBE) of a geometry-optimized Y2Te2Pb structure.

Results
size of the total moment	0.00	Bohr magnetons per cell
density of states at the Fermi level	7.50	states/eV per cell

Cell: 8.5510 8.5510 3.9887 Å, 90.00 90.00 90.00°
Fractional positions:
Te (0.1429, 0.6429, 0.5000)
Y (0.8435, 0.6565, 0.0000)
Te (0.3571, 0.1429, 0.5000)
Y (0.1565, 0.3435, 0.0000)
Y (0.3435, 0.8435, 0.0000)
Y (0.6565, 0.1565, 0.0000)
Te (0.8571, 0.3571, 0.5000)
Pb (0.0000, 0.0000, 0.0000)
Pb (0.5000, 0.5000, 0.0000)
Te (0.6429, 0.8571, 0.5000)

---

Version Q
The following is a DFT calculation (PBE) of a geometry-optimized Y2Te2Pb structure.

Results
size of the total moment	0.00	Bohr magnetons per cell
density of states at the Fermi level	9.58	states/eV per cell

Cell: 8.7880 8.7880 3.7953 Å, 90.00 90.00 90.00°
Fractional positions:
Pb (0.5000, 0.5000, 0.0000)
Y (0.8458, 0.3458, 0.5000)
Te (0.1407, 0.3593, 0.0000)
Te (0.6407, 0.1407, 0.0000)
Te (0.8593, 0.6407, 0.0000)
Y (0.1542, 0.6542, 0.5000)
Te (0.3593, 0.8593, 0.0000)
Y (0.6542, 0.8458, 0.5000)
Pb (0.0000, 0.0000, 0.0000)
Y (0.3458, 0.1542, 0.5000)

---

Stability summary: most stable version P, least stable version Q.

---

Version P
The following is a DFT calculation (PBE) of a geometry-optimized Y2TePb2 structure.

Results
size of the total moment	0.00	Bohr magnetons per cell
density of states at the Fermi level	3.06	states/eV per cell

Cell: 8.5024 8.5024 4.1928 Å, 90.00 90.00 90.00°
Fractional positions:
Pb (0.3763, 0.8763, 0.0000)
Y (0.3181, 0.1819, 0.5000)
Te (0.5000, 0.5000, 0.0000)
Y (0.6819, 0.8181, 0.5000)
Pb (0.1237, 0.3763, 0.0000)
Pb (0.6237, 0.1237, 0.0000)
Te (0.0000, 0.0000, 0.0000)
Pb (0.8763, 0.6237, 0.0000)
Y (0.1819, 0.6819, 0.5000)
Y (0.8181, 0.3181, 0.5000)

---

Version Q
The following is a DFT calculation (PBE) of a geometry-optimized Y2TePb2 structure.

Results
size of the total moment	0.00	Bohr magnetons per cell
density of states at the Fermi level	4.40	states/eV per cell

Cell: 8.1129 8.1129 4.6448 Å, 90.00 90.00 90.00°
Fractional positions:
Y (0.8294, 0.6706, 0.0000)
Te (0.0000, 0.0000, 0.0000)
Pb (0.3675, 0.1325, 0.5000)
Pb (0.6325, 0.8675, 0.5000)
Y (0.6706, 0.1706, 0.0000)
Y (0.1706, 0.3294, 0.0000)
Te (0.5000, 0.5000, 0.0000)
Pb (0.8675, 0.3675, 0.5000)
Pb (0.1325, 0.6325, 0.5000)
Y (0.3294, 0.8294, 0.0000)

---

Stability summary: most stable version Q, least stable version P.